Material: CsKMnF4
Method: DFT, PBE with a Hubbard U
State: relaxed

Lattice parameters (Å, degrees): 4.324 4.324 7.793 106.11 106.11 90.00
Site moments in Bohr magnetons follow the coordinates.
Element x y z (fractional)
F1 0.149 0.149 0.298  0.03
F2 0.007 0.507 0.014  0.04
K1 0.638 0.638 0.275  0.00
F3 0.851 0.851 0.701  0.02
Cs1 0.348 0.348 0.696  0.00
F4 0.507 0.007 0.014  0.04
Mn1 0.001 0.001 0.002  4.69

Electronic total energy   -36.100 eV per cell


Material: Cs2KMn2F7
Method: DFT, PBE with a Hubbard U
State: relaxed

Lattice parameters (Å, degrees): 4.340 4.340 12.105 79.66 79.66 90.00
Site moments in Bohr magnetons follow the coordinates.
Element x y z (fractional)
Cs1 0.816 0.816 0.368  0.00
Cs2 0.184 0.184 0.632  0.00
F1 0.088 0.588 0.824  0.04
F2 0.500 0.500 0.000  0.04
Mn1 0.591 0.591 0.819  4.70
F3 0.682 0.682 0.636  0.02
F4 0.588 0.088 0.824  0.04
F5 0.412 0.912 0.176  0.04
F6 0.318 0.318 0.364  0.02
Mn2 0.409 0.409 0.181  4.70
F7 0.912 0.412 0.176  0.04
K1 0.000 0.000 0.000  0.00

Electronic total energy   -63.901 eV per cell


Material: Cs4KMn3F12
Method: DFT, PBE with a Hubbard U
State: relaxed

Lattice parameters (Å, degrees): 7.779 7.779 7.779 109.47 109.47 109.47
Site moments in Bohr magnetons follow the coordinates.
Element x y z (fractional)
Mn1 0.000 0.500 0.500  4.46
Mn2 0.500 0.500 0.000  4.46
K1 0.000 0.000 0.000  0.00
F1 0.250 0.750 0.500  0.02
F2 0.717 0.000 0.717  0.00
Mn3 0.500 0.000 0.500  4.46
F3 0.717 0.717 0.000  0.00
Cs1 0.000 0.500 0.000  0.00
Cs2 0.500 0.500 0.500  0.00
F4 0.250 0.500 0.750  0.02
F5 0.283 0.283 0.000  0.00
F6 0.500 0.750 0.250  0.02
F7 0.500 0.250 0.750  0.02
F8 0.000 0.717 0.717  0.00
F9 0.283 0.000 0.283  0.00
F10 0.750 0.250 0.500  0.02
Cs3 0.500 0.000 0.000  0.00
F11 0.750 0.500 0.250  0.02
F12 0.000 0.283 0.283  0.00
Cs4 0.000 0.000 0.500  0.00

Electronic total energy   -103.808 eV per cell


Material: Cs3KMn2F9
Method: DFT, PBE with a Hubbard U
State: relaxed

Lattice parameters (Å, degrees): 6.337 6.337 7.904 90.00 90.00 120.00
Site moments in Bohr magnetons follow the coordinates.
Element x y z (fractional)
F1 0.632 0.816 0.296  0.01
K1 0.000 0.000 0.500  0.00
Cs1 0.667 0.333 0.345  0.00
Cs2 0.333 0.667 0.655  0.00
F2 0.500 0.000 0.000  -0.02
F3 0.184 0.368 0.296  0.01
F4 0.816 0.184 0.704  0.01
Mn1 0.333 0.667 0.148  4.36
F5 0.500 0.500 0.000  -0.02
F6 0.816 0.632 0.704  0.01
F7 0.184 0.816 0.296  0.01
F8 0.368 0.184 0.704  0.01
Cs3 0.000 0.000 0.000  0.00
F9 0.000 0.500 0.000  -0.02
Mn2 0.667 0.333 0.852  4.36

Electronic total energy   -76.045 eV per cell


Material: Cs2KMnF6
Method: DFT, PBE with a Hubbard U
State: relaxed

Lattice parameters (Å, degrees): 6.452 6.450 6.455 119.81 120.00 89.99
Site moments in Bohr magnetons follow the coordinates.
Element x y z (fractional)
F1 0.212 0.213 0.001  -0.01
Cs1 0.750 0.249 0.501  0.00
F2 0.788 0.787 0.999  -0.01
F3 0.786 0.786 0.572  0.00
F4 0.787 0.212 0.000  -0.01
F5 0.214 0.214 0.428  0.00
Mn1 0.000 0.000 0.000  1.97
Cs2 0.250 0.751 0.499  0.00
K1 0.500 0.500 0.000  0.00
F6 0.213 0.787 0.000  -0.01

Electronic total energy   -47.780 eV per cell


Material: CsKMoF6
Method: DFT, PBE with a Hubbard U
State: relaxed

Lattice parameters (Å, degrees): 6.544 6.544 11.033 90.00 90.00 120.00
Site moments in Bohr magnetons follow the coordinates.
Element x y z (fractional)
Mo1 0.333 0.667 0.750  1.87
F1 0.340 0.922 0.646  0.02
F2 0.418 0.340 0.354  0.02
Cs1 0.000 0.000 0.000  0.00
F3 0.660 0.582 0.146  0.02
Cs2 0.000 0.000 0.500  0.00
K1 0.333 0.667 0.250  0.00
F4 0.660 0.078 0.354  0.02
F5 0.078 0.660 0.854  0.02
K2 0.667 0.333 0.750  0.00
F6 0.418 0.078 0.146  0.02
F7 0.922 0.582 0.354  0.02
F8 0.582 0.660 0.646  0.02
F9 0.078 0.418 0.646  0.02
F10 0.582 0.922 0.854  0.02
F11 0.340 0.418 0.854  0.02
Mo2 0.667 0.333 0.250  1.87
F12 0.922 0.340 0.146  0.02

Electronic total energy   -90.341 eV per cell


Material: Cs2KMoF6
Method: DFT, PBE with a Hubbard U
State: relaxed

Lattice parameters (Å, degrees): 6.651 6.651 6.651 60.00 60.00 60.00
Site moments in Bohr magnetons follow the coordinates.
Element x y z (fractional)
F1 0.224 0.776 0.224  0.02
F2 0.224 0.224 0.776  0.02
K1 0.500 0.500 0.500  0.00
F3 0.224 0.776 0.776  0.02
F4 0.776 0.776 0.224  0.02
Cs1 0.250 0.250 0.250  0.00
Cs2 0.750 0.750 0.750  0.00
F5 0.776 0.224 0.224  0.02
F6 0.776 0.224 0.776  0.02
Mo1 0.000 0.000 0.000  2.77

Electronic total energy   -49.131 eV per cell